(1)
The following is a PBE calculation of an optimized crystal structure of Zr2ScCo9, from the Alexandria database.

Output
- Energy of formation: -23.9 kJ per mole of atoms
- Space group: R-3m
- E_tot: -7.530 eV per atom
- Magnetization: 9.4 Bohr magnetons per cell

```
Zr2ScCo9
1.0
-1.6309 -4.0698 -2.0277
3.1210 -3.2509 -1.7394
0.6884 -6.0448 5.8251
Co Zr Sc
9 2 1
Direct
0.5852 0.5852 0.7511
0.3352 0.3352 0.9944
0.9216 0.4148 0.2489
0.5000 0.5000 0.5000
0.0784 0.5852 0.7511
0.4148 0.9216 0.2489
0.5852 0.0784 0.7511
0.6648 0.6648 0.0056
0.4148 0.4148 0.2489
0.8617 0.8617 0.4149
0.1383 0.1383 0.5851
0.0000 0.0000 0.0000
```

(2)
The following is a PBE calculation of an optimized crystal structure of BaCa2Br, from the Alexandria database.

Output
- Formation energy (no corrections): -0.10 eV per atom
- Space group: Fm-3m
- E_tot: -2.001 eV per atom
- Magnetization: 0.0 Bohr magnetons per cell

```
BaCa2Br
1.0
0.0000 4.5112 4.5112
4.5112 0.0000 4.5112
4.5112 4.5112 0.0000
Ba Ca Br
1 2 1
Direct
0.5000 0.5000 0.5000
0.7500 0.7500 0.7500
0.2500 0.2500 0.2500
0.0000 0.0000 0.0000
```

(3)
The following is a PBE calculation of an optimized crystal structure of PmPa2S3, from the Alexandria database.

Output
- Formation energy (no corrections): -1.73 eV per atom
- Space group: P2_1/c
- E_tot: -7.746 eV per atom
- Magnetization: 0.0 Bohr magnetons per cell

```
PmPa2S3
1.0
5.5576 -0.0064 0.0000
0.0157 7.8354 0.0000
0.0000 0.0000 11.8617
Pa S Pm
8 12 4
Direct
0.2507 0.3756 0.7469
0.7504 0.6218 0.9166
0.2496 0.8782 0.4166
0.7493 0.1244 0.2469
0.2507 0.8756 0.7531
0.2496 0.3782 0.0834
0.7504 0.1218 0.5834
0.7493 0.6244 0.2531
0.7496 0.8792 0.4142
0.7497 0.8692 0.0845
0.2503 0.6308 0.5845
0.2492 0.6253 0.2521
0.7508 0.3747 0.7479
0.7496 0.3792 0.0858
0.2504 0.1208 0.5858
0.7497 0.3692 0.4155
0.7508 0.8747 0.7521
0.2503 0.1308 0.9155
0.2492 0.1253 0.2479
0.2504 0.6208 0.9142
0.7503 0.1280 0.9196
0.2497 0.8720 0.0804
0.7503 0.6280 0.5804
0.2497 0.3720 0.4196
```

(4)
The following is a PBE calculation of an optimized crystal structure of Dy5Er2Tl4, from the Alexandria database.

Output
- Energy of formation: 32.9 kJ per mole of atoms
- Space group: Immm
- E_tot: -3.441 eV per atom
- Magnetization: 0.0 Bohr magnetons per cell

```
Dy5Er2Tl4
1.0
3.4581 0.0000 0.0000
0.0000 8.6275 0.0000
-1.7291 -4.3137 14.3174
Dy Tl Er
5 4 2
Direct
0.7989 0.6014 0.5979
0.2011 0.0035 0.4021
0.5000 0.0000 0.0000
0.7989 0.9965 0.5979
0.2011 0.3986 0.4021
0.0000 0.3193 0.0000
0.0000 0.6807 0.0000
0.6968 0.6968 0.3937
0.3032 0.3032 0.6063
0.0968 0.0968 0.1937
0.9032 0.9032 0.8063
```

(5)
The following is a PBE calculation of an optimized crystal structure of Mn2BeTcH, from the Alexandria database.

Output
- Space group: P4/mmm
- E_tot: -7.017 eV per atom
- Magnetization: 0.8 Bohr magnetons per cell

```
Mn2BeTcH
1.0
3.8612 0.0000 0.0000
0.0000 3.8612 0.0000
0.0000 0.0000 3.1364
Tc Mn H Be
1 2 1 1
Direct
0.5000 0.5000 0.5000
0.5000 0.0000 0.0000
0.0000 0.5000 0.0000
0.0000 0.0000 0.0000
0.0000 0.0000 0.5000
```

(6)
The following is a PBE calculation of an optimized crystal structure of AcLa5Cd, from the Alexandria database.

Output
- Energy above the most stable polymorph in this dataset: 0 meV/atom
- Energy of formation: 2.0 kJ per mole of atoms
- Space group: P4/mmm
- E_tot: -4.217 eV per atom
- Magnetization: 0.0 Bohr magnetons per cell

```
AcLa5Cd
1.0
5.3712 0.0000 0.0000
0.0000 5.3712 0.0000
0.0000 0.0000 9.1147
La Ac Cd
5 1 1
Direct
0.5000 0.5000 0.5000
0.5000 0.0000 0.2167
0.0000 0.5000 0.2167
0.0000 0.5000 0.7833
0.5000 0.0000 0.7833
0.0000 0.0000 0.5000
0.5000 0.5000 0.0000
```

(7)
The following is a PBE calculation of an optimized crystal structure of CaTcC, from the Alexandria database.

Output
- Energy above the most stable polymorph in this dataset: 75 meV/atom
- Energy of formation: 14.1 kJ per mole of atoms
- Space group: P4/nmm
- E_tot: -7.052 eV per atom
- Magnetization: 0.0 Bohr magnetons per cell

```
CaTcC
1.0
-2.7420 -0.3057 -2.6129
2.6306 -0.2804 -2.7277
0.0577 -8.1742 0.8959
C Ca Tc
2 2 2
Direct
0.0000 0.5000 0.3931
0.5000 0.0000 0.6069
0.5000 0.0000 0.1922
0.0000 0.5000 0.8078
0.5000 0.5000 0.5000
0.0000 0.0000 0.5000
```

(8)
The following is a PBE calculation of an optimized crystal structure of KScTi2O6, from the Alexandria database.

Output
- Formation energy (no corrections): -2.96 eV per atom
- Space group: C2/c
- E_tot: -8.254 eV per atom
- Magnetization: 0.0 Bohr magnetons per cell

```
KScTi2O6
1.0
-3.8080 -0.1658 5.1768
4.1311 -3.5489 5.2181
-0.0417 7.1194 2.4903
K O Ti Sc
2 12 4 2
Direct
0.7500 0.1062 0.8938
0.2500 0.8938 0.1062
0.2143 0.9440 0.7603
0.7857 0.0560 0.2397
0.5582 0.5828 0.6521
0.0582 0.6521 0.5828
0.0417 0.6303 0.2030
0.4583 0.7970 0.3697
0.9583 0.3697 0.7970
0.9418 0.3479 0.4172
0.4418 0.4172 0.3479
0.2857 0.2397 0.0560
0.5417 0.2030 0.6303
0.7143 0.7603 0.9440
0.6646 0.2822 0.4320
0.8354 0.5680 0.7178
0.1646 0.4320 0.2822
0.3354 0.7178 0.5680
0.2500 0.2030 0.7970
0.7500 0.7970 0.2030
```

Question: magnetization of number 8 (KScTi2O6)?
Answer: 0.0 Bohr magnetons per cell